This record from Alexandria via LeMat-Bulk describes crystalline RbAc4LaO8 at its relaxed geometry. The functional is PBE-GGA.

Unit cell a=7.6447 b=7.6447 c=7.5639 alpha=59.65 beta=59.65 gamma=60.00
With the nearest neighbours (Å) after each atom.
Fractional coordinates of all 14 atoms:
Ac: 0.0026 0.4948 0.4999  6 O 2.44-2.65
Ac: 0.6249 0.6249 0.1254  4 O 2.43-2.46
Ac: 0.0026 0.0026 0.4999  6 O 2.44-2.65
Ac: 0.4948 0.0026 0.4999  6 O 2.44-2.65
La: 0.0045 0.0045 0.9866  3 O 2.34
O: 0.2268 0.2268 0.3197  3 Ac 2.44
O: 0.2299 0.7574 0.2554  3 Ac 2.46-2.64, 1 La 2.66
O: 0.7574 0.2299 0.2554  3 Ac 2.46-2.64, 1 La 2.66
O: 0.7567 0.7567 0.7299  4 Ac 2.43-2.65
O: 0.7574 0.7574 0.2554  3 Ac 2.46-2.64, 1 La 2.66
O: 0.2209 0.8244 0.7337  1 La 2.34, 2 Ac 2.46
O: 0.2209 0.2209 0.7337  1 La 2.34, 2 Ac 2.46
O: 0.8244 0.2209 0.7337  1 La 2.34, 2 Ac 2.46
Rb: 0.3762 0.3762 0.8713  4 O 2.75-2.79

This record from Alexandria via LeMat-Bulk describes crystalline Rb2AcLaO4 at its relaxed geometry. The functional is PBE-GGA.

Unit cell a=3.8218 b=6.6239 c=6.9826 alpha=108.41 beta=90.00 gamma=90.00
With the nearest neighbours (Å) after each atom.
Fractional coordinates of all 8 atoms:
O: 0.5000 0.7653 0.8159  1 La 2.48, 2 Ac 2.54
O: 0.0000 0.2788 0.8187  2 La 2.50, 1 Ac 2.55
O: 0.0000 0.7212 0.1813  2 La 2.50, 1 Ac 2.55
O: 0.5000 0.2347 0.1841  1 La 2.48, 2 Ac 2.54
La: 0.5000 0.5000 0.0000  6 O 2.48-2.50
Ac: 0.0000 0.0000 0.0000  6 O 2.54-2.55
Rb: 0.0000 0.5000 0.5000  6 O 3.03
Rb: 0.5000 0.0000 0.5000  6 O 3.07

How do the records compare in raw formation energy? In the order shown, they have -3.038, -2.567 eV per atom.